Record 1
Density functional theory data (GGA-PBE) for a geometry-optimized LaInN2 structure.

The structure in POSCAR format:
```
LaInN2
1.0
1.9696 1.1371 6.3099
-1.9696 1.1371 6.3099
0.0000 -2.2743 6.3099
La In N
1 1 2
Direct
0.0000 0.0000 0.0000 La
0.5000 0.5000 0.5000 In
0.3957 0.3957 0.3957 N
0.6043 0.6043 0.6043 N
```

Summary:
total DFT energy (no corrections) = -25.9 eV per formula unit
SG = No. 166
energy relative to the elements, uncorrected = -1.613 eV per formula unit

***

Record 2
Density functional theory data (GGA-PBE) for a geometry-optimized MgCu4Tc structure.

The structure in POSCAR format:
```
MgCu4Tc
1.0
0.0000 3.4397 3.4397
3.4397 0.0000 3.4397
3.4397 3.4397 0.0000
Mg Cu Tc
1 4 1
Direct
0.0000 0.0000 0.0000 Mg
0.3752 0.3752 0.3752 Cu
0.3752 0.3752 0.8744 Cu
0.3752 0.8744 0.3752 Cu
0.8744 0.3752 0.3752 Cu
0.7500 0.7500 0.7500 Tc
```

Summary:
total DFT energy (no corrections) = -27.3 eV per formula unit
SG = No. 216

***

Record 3
Density functional theory data (GGA-PBE) for a geometry-optimized CdCu2HPd structure.

The structure in POSCAR format:
```
CdCu2HPd
1.0
4.0186 0.0000 0.0000
0.0000 4.0186 0.0000
0.0000 0.0000 3.8460
Cd Cu H Pd
1 2 1 1
Direct
0.0000 0.0000 0.0000 Cd
0.0000 0.5000 0.5000 Cu
0.5000 0.0000 0.5000 Cu
0.5000 0.5000 0.5000 H
0.5000 0.5000 0.0000 Pd
```

Summary:
energy relative to the lowest polymorph listed for this composition = 0 meV per atom
total DFT energy (no corrections) = -17.9 eV per formula unit
SG = No. 123

***

Record 4
Density functional theory data (GGA-PBE) for a geometry-optimized Pr9Al5Se21 structure.

The structure in POSCAR format:
```
Pr9Al5Se21
1.0
9.0492 5.2246 6.5103
-9.0492 5.2246 6.5103
0.0000 -10.4492 6.5103
Pr Al Se
18 10 42
Direct
0.0163 0.8067 0.1770 Pr
0.0202 0.6389 0.7966 Pr
0.1173 0.4994 0.3433 Pr
0.1408 0.3627 0.9874 Pr
0.1770 0.0163 0.8067 Pr
0.3245 0.4739 0.6956 Pr
0.3433 0.1173 0.4994 Pr
0.3627 0.9874 0.1408 Pr
0.4588 0.8333 0.6884 Pr
0.4739 0.6956 0.3245 Pr
0.4994 0.3433 0.1173 Pr
0.6389 0.7966 0.0202 Pr
0.6884 0.4588 0.8333 Pr
0.6956 0.3245 0.4739 Pr
0.7966 0.0202 0.6389 Pr
0.8067 0.1770 0.0163 Pr
0.8333 0.6884 0.4588 Pr
0.9874 0.1408 0.3627 Pr
0.0249 0.3476 0.6909 Al
0.1851 0.8519 0.5262 Al
0.2172 0.2172 0.2172 Al
0.3476 0.6909 0.0249 Al
0.4010 0.4010 0.4010 Al
0.5262 0.1851 0.8519 Al
0.6909 0.0249 0.3476 Al
0.7152 0.7152 0.7152 Al
0.8519 0.5262 0.1851 Al
0.8994 0.8994 0.8994 Al
0.0201 0.2658 0.1646 Se
0.0291 0.5646 0.1211 Se
0.0640 0.7318 0.4012 Se
0.0840 0.8446 0.9515 Se
0.0922 0.5059 0.6068 Se
0.1211 0.0291 0.5646 Se
0.1646 0.0201 0.2658 Se
0.1880 0.2723 0.7578 Se
0.1958 0.2897 0.4217 Se
0.2171 0.7851 0.7020 Se
0.2317 0.5661 0.8995 Se
0.2658 0.1646 0.0201 Se
0.2723 0.7578 0.1880 Se
0.2897 0.4217 0.1958 Se
0.3354 0.5748 0.4739 Se
0.3652 0.8785 0.4633 Se
0.4012 0.0640 0.7318 Se
0.4083 0.8535 0.9410 Se
0.4217 0.1958 0.2897 Se
0.4633 0.3652 0.8785 Se
0.4739 0.3354 0.5748 Se
0.5059 0.6068 0.0922 Se
0.5336 0.6314 0.7800 Se
0.5646 0.1211 0.0291 Se
0.5661 0.8995 0.2317 Se
0.5748 0.4739 0.3354 Se
0.6068 0.0922 0.5059 Se
0.6314 0.7800 0.5336 Se
0.6809 0.9072 0.8117 Se
0.7020 0.2171 0.7851 Se
0.7318 0.4012 0.0640 Se
0.7578 0.1880 0.2723 Se
0.7800 0.5336 0.6314 Se
0.7851 0.7020 0.2171 Se
0.8117 0.6809 0.9072 Se
0.8446 0.9515 0.0840 Se
0.8535 0.9410 0.4083 Se
0.8785 0.4633 0.3652 Se
0.8995 0.2317 0.5661 Se
0.9072 0.8117 0.6809 Se
0.9410 0.4083 0.8535 Se
0.9515 0.0840 0.8446 Se
```

Summary:
total DFT energy (no corrections) = -188.8 eV per formula unit
SG = No. 146
energy relative to the elements, uncorrected = -53.946 eV per formula unit

***

Q: What is the total DFT energy (no corrections) in the fourth record?
A: -188.8 eV per formula unit